Record 1
The following is a DFT calculation (PBE-GGA) of crystalline KUTe2 at its relaxed geometry.

Cell and atoms, written as POSCAR:
```
KUTe2
1.0
3.850 0.000 0.000
0.000 3.850 0.000
0.000 0.000 8.512
K U Te
1 1 2
Direct
0.000 0.000 0.000 K
0.000 0.000 0.500 U
0.500 0.500 0.289 Te
0.500 0.500 0.711 Te
```

Calculated values
Magnetic moment in μB per cell: 3.0
Formation energy from raw total energies in eV per atom: -0.79

Record 2
The following is a DFT calculation (PBE-GGA) of crystalline HgMo2Pb at its relaxed geometry.

Cell and atoms, written as POSCAR:
```
HgMo2Pb
1.0
4.967 -1.678 0.000
4.967 1.678 0.000
-1.150 0.000 5.166
Hg Mo Pb
1 2 1
Direct
0.000 0.000 0.000 Hg
0.252 0.252 0.832 Mo
0.748 0.748 0.168 Mo
0.500 0.500 0.500 Pb
```

Calculated values
Energy above the most stable polymorph in this dataset in eV/atom: 0.257
Magnetic moment in μB per cell: 0.0
Energy of formation from the pure elements in eV per atom: 0.653

Record 3
The following is a DFT calculation (PBE-GGA) of crystalline MnTeOs2 at its relaxed geometry.

Cell and atoms, written as POSCAR:
```
MnTeOs2
1.0
2.939 0.000 0.000
0.000 2.939 0.000
0.000 0.000 7.821
Mn Te Os
1 1 2
Direct
0.000 0.000 0.000 Mn
0.500 0.500 0.720 Te
0.000 0.000 0.441 Os
0.500 0.500 0.234 Os
```

Calculated values
Magnetic moment in μB per cell: 3.8
Formation energy from raw total energies in eV per atom: 0.57

Record 4
The following is a DFT calculation (PBE-GGA) of crystalline Ir2OsRu at its relaxed geometry.

Cell and atoms, written as POSCAR:
```
Ir2OsRu
1.0
-1.921 1.921 3.874
1.921 -1.921 3.874
1.921 1.921 -3.874
Ir Os Ru
2 1 1
Direct
0.250 0.750 0.500 Ir
0.750 0.250 0.500 Ir
0.000 0.000 0.000 Os
0.500 0.500 0.000 Ru
```

Calculated values
Energy above the most stable polymorph in this dataset in eV/atom: 0.010
Magnetic moment in μB per cell: 0.0
Energy of formation from the pure elements in eV per atom: 0.015

Record 5
The following is a DFT calculation (PBE-GGA) of crystalline MnNiCl at its relaxed geometry.

Cell and atoms, written as POSCAR:
```
MnNiCl
1.0
3.107 0.000 0.000
-1.554 2.691 0.000
0.000 0.000 5.776
Mn Ni Cl
1 1 1
Direct
0.000 0.000 0.000 Mn
0.333 0.667 0.706 Ni
0.333 0.667 0.305 Cl
```

Calculated values
Energy above the most stable polymorph in this dataset in eV/atom: 0.277
Magnetic moment in μB per cell: 4.7
Formation energy from raw total energies in eV per atom: 0.01

no.,mass density (g/cm³)
1,7.007
2,11.564
3,13.842
4,19.626
5,5.126